A plane-wave DFT calculation with PBE was carried out for a relaxed structure of PmHoAlCu.

Output
**Mass density**: 7.09 g/cm3
**DFT formation energy**: -0.252 eV/atom
**Energy**: -4.54 eV per atom

Cell lengths 5.1007, 5.1007, 5.1007 Å; angles 60.00, 60.00, 60.00 degrees
Closest atoms and distances in Å follow each position.
Fractional positions:
Pm: 0.0000 0.0000 0.0000  4 Al 3.12, 4 Cu 3.12
Ho: 0.5000 0.5000 0.5000  4 Cu 3.12, 4 Al 3.12
Al: 0.2500 0.2500 0.2500  4 Ho 3.12, 4 Pm 3.12
Cu: 0.7500 0.7500 0.7500  4 Ho 3.12, 4 Pm 3.12

***

A plane-wave DFT calculation with PBE was carried out for a relaxed structure of HoAlCu2Pt4.

Output
**Mass density**: 14.37 g/cm3
**DFT formation energy**: -0.715 eV/atom
**Energy**: -5.80 eV per atom

Cell lengths 7.9654, 7.9654, 7.9654 Å; angles 32.13, 32.13, 32.13 degrees
Closest atoms and distances in Å follow each position.
Fractional positions:
Ho: 0.0000 0.0000 0.0000  8 Pt 2.88-2.97, 6 Cu 3.12
Al: 0.5000 0.5000 0.5000  8 Pt 2.42-2.67
Cu: 0.2535 0.2535 0.2535  7 Pt 2.59-2.80
Cu: 0.7465 0.7465 0.7465  7 Pt 2.59-2.80
Pt: 0.1310 0.1310 0.1310  3 Al 2.67, 4 Cu 2.77-2.80, 1 Ho 2.97
Pt: 0.3929 0.3929 0.3929  1 Al 2.42, 3 Cu 2.59
Pt: 0.6071 0.6071 0.6071  1 Al 2.42, 3 Cu 2.59
Pt: 0.8690 0.8690 0.8690  3 Al 2.67, 4 Cu 2.77-2.80, 1 Ho 2.97